## PrScTlAu (PBE)

Data for crystalline PrScTlAu at its relaxed geometry.

Cell lengths 7.392, 7.392, 7.392 Å; angles 90.00, 90.00, 90.00 degrees
Space group F-43m (No. 216)
Asymmetric unit:
Pr 0.000 0.000 0.000
Sc 0.000 0.000 0.500
Tl 0.250 0.250 0.750
Au 0.250 0.250 0.250

- DOS at the Fermi energy: 17.2 states/eV/cell
- Formation energy from the elements: -0.473 eV/atom



## PrOF (PBE)

Data for crystalline PrOF at its relaxed geometry.

Cell lengths 3.7776, 3.7776, 4.9337 Å; angles 90.00, 90.00, 120.00 degrees
Space group P3m1 (No. 156)
Asymmetric unit:
Pr 0.0000 0.0000 0.0000
O 0.3333 0.6667 0.8494
F 0.6667 0.3333 0.2540

- DOS at the Fermi energy: 0.0 states/eV/cell
- Formation energy from raw total energies: -3.45 eV per atom



Result set for total energy: -4.66; -7.32 eV/atom, one per record in the order listed.
Result set for total magnetic moment: 1.57; 0.00 μB per cell, one per record in the order listed.